Arrangement A

# PBE ScSiHRu2, optimized geometry
# DOS(E_F) in states/eV/f.u.: 2.76
# Spin magnetization in μB/atom: 0.000
data_ScSiHRu2
_chemical_formula_sum 'Sc1 Si1 H1 Ru2'
_cell_length_a 4.579
_cell_length_b 3.356
_cell_length_c 4.579
_cell_angle_alpha 90.00
_cell_angle_beta 90.00
_cell_angle_gamma 90.00
_symmetry_space_group_name_H-M 'P 1'
_symmetry_Int_Tables_number 1
loop_
_symmetry_equiv_pos_as_xyz
'x,y,z'
loop_
_atom_site_label
_atom_site_fract_x
_atom_site_fract_y
_atom_site_fract_z
Sc1 0.500 0.500 0.500
Ru1 0.000 0.000 0.500
Ru2 0.500 0.000 0.000
Si1 0.000 0.000 0.000
H1 0.000 0.500 0.000

=====

Arrangement B

# PBE ScSiHRu2, optimized geometry
# DOS(E_F) in states/eV/f.u.: 5.89
# Spin magnetization in μB/atom: 0.001
data_ScSiHRu2
_chemical_formula_sum 'Sc2 Si2 H2 Ru4'
_cell_length_a 3.081
_cell_length_b 5.866
_cell_length_c 7.349
_cell_angle_alpha 90.00
_cell_angle_beta 90.00
_cell_angle_gamma 105.23
_symmetry_space_group_name_H-M 'P 1'
_symmetry_Int_Tables_number 1
loop_
_symmetry_equiv_pos_as_xyz
'x,y,z'
loop_
_atom_site_label
_atom_site_fract_x
_atom_site_fract_y
_atom_site_fract_z
Sc1 0.472 0.945 0.750
Sc2 0.528 0.055 0.250
Si1 0.746 0.492 0.750
Si2 0.254 0.508 0.250
H1 0.000 0.000 0.000
H2 0.000 0.000 0.500
Ru1 0.149 0.297 0.958
Ru2 0.851 0.703 0.042
Ru3 0.149 0.297 0.542
Ru4 0.851 0.703 0.458

=====

It comes down to arrangement B, which is 697 meV per atom more stable than the next structure.

=====

Arrangement A

# PBE TcHRuSe2, optimized geometry
# DOS(E_F) in states/eV/f.u.: 8.04
# Spin magnetization in μB/atom: 0.318
data_TcHRuSe2
_chemical_formula_sum 'Tc1 H1 Ru1 Se2'
_cell_length_a 4.819
_cell_length_b 3.334
_cell_length_c 4.819
_cell_angle_alpha 90.00
_cell_angle_beta 90.00
_cell_angle_gamma 90.00
_symmetry_space_group_name_H-M 'P 1'
_symmetry_Int_Tables_number 1
loop_
_symmetry_equiv_pos_as_xyz
'x,y,z'
loop_
_atom_site_label
_atom_site_fract_x
_atom_site_fract_y
_atom_site_fract_z
Ru1 0.500 0.500 0.500
Tc1 0.000 0.000 0.000
Se1 0.000 0.000 0.500
Se2 0.500 0.000 0.000
H1 0.000 0.500 0.000

=====

Arrangement B

# PBE TcHRuSe2, optimized geometry
# DOS(E_F) in states/eV/f.u.: 3.87
# Spin magnetization in μB/atom: 0.000
data_TcHRuSe2
_chemical_formula_sum 'Tc1 H1 Ru1 Se2'
_cell_length_a 4.465
_cell_length_b 3.331
_cell_length_c 4.465
_cell_angle_alpha 90.00
_cell_angle_beta 90.00
_cell_angle_gamma 90.00
_symmetry_space_group_name_H-M 'P 1'
_symmetry_Int_Tables_number 1
loop_
_symmetry_equiv_pos_as_xyz
'x,y,z'
loop_
_atom_site_label
_atom_site_fract_x
_atom_site_fract_y
_atom_site_fract_z
Ru1 0.500 0.500 0.500
Tc1 0.000 0.500 0.000
Se1 0.000 0.000 0.500
Se2 0.500 0.000 0.000
H1 0.000 0.000 0.000

=====

It comes down to arrangement B, which is 134 meV per atom more stable than the next structure.

=====

Arrangement A

# PBE TlHRu2Se, optimized geometry
# DOS(E_F) in states/eV/f.u.: 2.56
# Spin magnetization in μB/atom: 0.500
data_TlHRu2Se
_chemical_formula_sum 'Tl1 H1 Ru2 Se1'
_cell_length_a 4.537
_cell_length_b 6.416
_cell_length_c 4.537
_cell_angle_alpha 90.00
_cell_angle_beta 90.00
_cell_angle_gamma 90.00
_symmetry_space_group_name_H-M 'P 1'
_symmetry_Int_Tables_number 1
loop_
_symmetry_equiv_pos_as_xyz
'x,y,z'
loop_
_atom_site_label
_atom_site_fract_x
_atom_site_fract_y
_atom_site_fract_z
Ru1 0.000 0.000 0.500
Ru2 0.500 0.000 0.000
Tl1 0.000 0.500 0.000
Se1 0.000 0.000 0.000
H1 0.500 0.500 0.500

=====

Arrangement B

# PBE TlHRu2Se, optimized geometry
# DOS(E_F) in states/eV/f.u.: 3.82
# Spin magnetization in μB/atom: 0.127
data_TlHRu2Se
_chemical_formula_sum 'Tl1 H1 Ru2 Se1'
_cell_length_a 4.800
_cell_length_b 3.377
_cell_length_c 4.800
_cell_angle_alpha 90.00
_cell_angle_beta 90.00
_cell_angle_gamma 90.00
_symmetry_space_group_name_H-M 'P 1'
_symmetry_Int_Tables_number 1
loop_
_symmetry_equiv_pos_as_xyz
'x,y,z'
loop_
_atom_site_label
_atom_site_fract_x
_atom_site_fract_y
_atom_site_fract_z
Ru1 0.000 0.000 0.500
Ru2 0.500 0.000 0.000
Tl1 0.500 0.500 0.500
Se1 0.000 0.000 0.000
H1 0.000 0.500 0.000

=====

It comes down to arrangement B, which is 656 meV per atom more stable than the next structure.

=====

Arrangement A

# PBE SiH3Ru, optimized geometry
# DOS(E_F) in states/eV/f.u.: 2.11
# Spin magnetization in μB/atom: 0.000
data_SiH3Ru
_chemical_formula_sum 'Si1 H3 Ru1'
_cell_length_a 3.491
_cell_length_b 3.491
_cell_length_c 3.491
_cell_angle_alpha 90.00
_cell_angle_beta 90.00
_cell_angle_gamma 90.00
_symmetry_space_group_name_H-M 'P 1'
_symmetry_Int_Tables_number 1
loop_
_symmetry_equiv_pos_as_xyz
'x,y,z'
loop_
_atom_site_label
_atom_site_fract_x
_atom_site_fract_y
_atom_site_fract_z
Ru1 0.000 0.000 0.000
Si1 0.500 0.500 0.500
H1 0.000 0.500 0.000
H2 0.000 0.000 0.500
H3 0.500 0.000 0.000

=====

Arrangement B

# PBE SiH3Ru, optimized geometry
# DOS(E_F) in states/eV/f.u.: 2.67
# Spin magnetization in μB/atom: 0.244
data_SiH3Ru
_chemical_formula_sum 'Si1 H3 Ru1'
_cell_length_a 3.398
_cell_length_b 3.398
_cell_length_c 3.398
_cell_angle_alpha 90.00
_cell_angle_beta 90.00
_cell_angle_gamma 90.00
_symmetry_space_group_name_H-M 'P 1'
_symmetry_Int_Tables_number 1
loop_
_symmetry_equiv_pos_as_xyz
'x,y,z'
loop_
_atom_site_label
_atom_site_fract_x
_atom_site_fract_y
_atom_site_fract_z
Ru1 0.500 0.500 0.500
Si1 0.000 0.000 0.000
H1 0.000 0.500 0.000
H2 0.000 0.000 0.500
H3 0.500 0.000 0.000

=====

It comes down to arrangement A, which is 490 meV per atom more stable than the next structure.

=====

Arrangement A

# PBE SmHRu, optimized geometry
# DOS(E_F) in states/eV/f.u.: 1.72
# Spin magnetization in μB/atom: 0.000
data_SmHRu
_chemical_formula_sum 'Sm1 H1 Ru1'
_cell_length_a 4.528
_cell_length_b 3.377
_cell_length_c 3.377
_cell_angle_alpha 120.00
_cell_angle_beta 90.00
_cell_angle_gamma 90.00
_symmetry_space_group_name_H-M 'P 1'
_symmetry_Int_Tables_number 1
loop_
_symmetry_equiv_pos_as_xyz
'x,y,z'
loop_
_atom_site_label
_atom_site_fract_x
_atom_site_fract_y
_atom_site_fract_z
Ru1 0.167 0.000 0.000
Sm1 0.667 0.333 0.667
H1 0.167 0.667 0.333

=====

Arrangement B

# PBE SmHRu, optimized geometry
# DOS(E_F) in states/eV/f.u.: 1.96
# Spin magnetization in μB/atom: 0.000
data_SmHRu
_chemical_formula_sum 'Sm2 H2 Ru2'
_cell_length_a 3.992
_cell_length_b 5.730
_cell_length_c 7.849
_cell_angle_alpha 137.72
_cell_angle_beta 90.00
_cell_angle_gamma 110.39
_symmetry_space_group_name_H-M 'P 1'
_symmetry_Int_Tables_number 1
loop_
_symmetry_equiv_pos_as_xyz
'x,y,z'
loop_
_atom_site_label
_atom_site_fract_x
_atom_site_fract_y
_atom_site_fract_z
Ru1 0.625 0.251 0.374
Ru2 0.375 0.749 0.626
Sm1 0.000 0.000 0.500
Sm2 0.000 0.000 0.000
H1 0.380 0.760 0.188
H2 0.620 0.240 0.812

=====

It comes down to arrangement B, which is 161 meV per atom more stable than the next structure.

=====

Arrangement A

# PBE SnHRu2, optimized geometry
# DOS(E_F) in states/eV/f.u.: 4.38
# Spin magnetization in μB/atom: 0.317
data_SnHRu2
_chemical_formula_sum 'Sn1 H1 Ru2'
_cell_length_a 4.312
_cell_length_b 4.312
_cell_length_c 4.312
_cell_angle_alpha 60.00
_cell_angle_beta 60.00
_cell_angle_gamma 60.00
_symmetry_space_group_name_H-M 'P 1'
_symmetry_Int_Tables_number 1
loop_
_symmetry_equiv_pos_as_xyz
'x,y,z'
loop_
_atom_site_label
_atom_site_fract_x
_atom_site_fract_y
_atom_site_fract_z
Ru1 0.250 0.250 0.250
Ru2 0.750 0.750 0.750
Sn1 0.500 0.500 0.500
H1 0.000 0.000 0.000

=====

Arrangement B

# PBE SnHRu2, optimized geometry
# DOS(E_F) in states/eV/f.u.: 3.71
# Spin magnetization in μB/atom: 0.000
data_SnHRu2
_chemical_formula_sum 'Sn1 H1 Ru2'
_cell_length_a 3.911
_cell_length_b 3.911
_cell_length_c 5.271
_cell_angle_alpha 68.23
_cell_angle_beta 68.23
_cell_angle_gamma 60.00
_symmetry_space_group_name_H-M 'P 1'
_symmetry_Int_Tables_number 1
loop_
_symmetry_equiv_pos_as_xyz
'x,y,z'
loop_
_atom_site_label
_atom_site_fract_x
_atom_site_fract_y
_atom_site_fract_z
Ru1 0.806 0.806 0.582
Ru2 0.194 0.194 0.418
Sn1 0.000 0.000 0.000
H1 0.500 0.500 0.500

=====

Arrangement C

# PBE SnHRu2, optimized geometry
# DOS(E_F) in states/eV/f.u.: 4.20
# Spin magnetization in μB/atom: 0.000
data_SnHRu2
_chemical_formula_sum 'Sn2 H2 Ru4'
_cell_length_a 6.202
_cell_length_b 6.202
_cell_length_c 5.179
_cell_angle_alpha 53.21
_cell_angle_beta 53.21
_cell_angle_gamma 90.00
_symmetry_space_group_name_H-M 'P 1'
_symmetry_Int_Tables_number 1
loop_
_symmetry_equiv_pos_as_xyz
'x,y,z'
loop_
_atom_site_label
_atom_site_fract_x
_atom_site_fract_y
_atom_site_fract_z
Ru1 0.521 0.125 0.250
Ru2 0.229 0.625 0.250
Ru3 0.375 0.479 0.750
Ru4 0.875 0.771 0.750
Sn1 0.000 0.000 0.000
Sn2 0.750 0.250 0.500
H1 0.500 0.500 0.000
H2 0.250 0.750 0.500

=====

It comes down to arrangement C, which is 312 meV per atom more stable than the next structure.